(1)
VASP calculation (PBE+U) on BaMo2Se2O11 after structural relaxation.

Cell and atoms, written as POSCAR:
```
BaMo2Se2O11
1.0
-3.6952 6.8720 4.4934
-3.1613 -8.4234 -0.3509
4.3358 -1.8965 6.4662
O Se Mo Ba
22 4 4 2
Direct
0.1490 0.8652 0.3407
0.8510 0.1348 0.8407
0.3640 0.0852 0.1033
0.3809 0.5643 0.8712
0.9148 0.6360 0.6033
0.8471 0.6668 0.1257
0.0409 0.5135 0.8183
0.6191 0.4357 0.3712
0.4865 0.9591 0.3183
0.5135 0.0409 0.8183
0.8158 0.8158 0.4145
0.8652 0.1490 0.3407
0.6668 0.8471 0.1257
0.1842 0.1842 0.9145
0.5643 0.3809 0.8712
0.0852 0.3640 0.1033
0.1529 0.3332 0.6257
0.6360 0.9148 0.6033
0.1348 0.8510 0.8407
0.3332 0.1529 0.6257
0.4357 0.6191 0.3712
0.9591 0.4865 0.3183
0.8773 0.2932 0.1905
0.7068 0.1227 0.6905
0.1227 0.7068 0.6905
0.2932 0.8773 0.1905
0.6274 0.8455 0.3396
0.1545 0.3726 0.8396
0.8455 0.6274 0.3396
0.3726 0.1545 0.8396
0.7634 0.7634 0.8344
0.2366 0.2366 0.3344
```

Energy in eV for the cell shown: -204.00
DOS(E_F) in states/eV/f.u.: 0.00

***

(2)
VASP calculation (PBE+U) on BaMoSe2O after structural relaxation.

Cell and atoms, written as POSCAR:
```
BaMoSe2O
1.0
-1.4738 -4.5835 2.5020
-1.3456 -1.4438 -3.4376
4.8862 -2.1275 -1.0191
Mo Ba O Se
1 1 1 2
Direct
0.0000 0.0000 0.0000
0.5000 0.5000 0.5000
0.0000 0.5000 0.0000
0.5000 0.0000 0.0000
0.0000 0.0000 0.5000
```

Energy in eV for the cell shown: -27.20
DOS(E_F) in states/eV/f.u.: 1.64

***

(3)
VASP calculation (PBE+U) on BaMoSeO2 after structural relaxation.

Cell and atoms, written as POSCAR:
```
BaMoSeO2
1.0
4.1045 0.0000 0.0000
0.0000 4.1046 0.0000
0.0000 0.0002 6.1433
Ba Se Mo O
1 1 1 2
Direct
0.5000 0.5000 0.6493
0.0000 0.0000 0.4251
0.0000 0.0000 0.0135
0.0000 0.5000 0.9560
0.5000 0.0000 0.9561
```

Energy in eV for the cell shown: -30.65
DOS(E_F) in states/eV/f.u.: 0.53

***

(4)
VASP calculation (PBE+U) on BaSi2MoO8 after structural relaxation.

Cell and atoms, written as POSCAR:
```
BaSi2MoO8
1.0
-2.6062 3.7104 -2.0000
-4.8405 0.4324 0.9702
-0.7525 6.1114 6.1787
Si O Mo Ba
2 8 1 1
Direct
0.7372 0.7372 0.7883
0.2628 0.2628 0.2117
0.6177 0.2430 0.1374
0.1983 0.1983 0.4051
0.8017 0.8017 0.5949
0.2430 0.0019 0.1374
0.3823 0.7570 0.8626
0.9981 0.3823 0.8626
0.0019 0.6177 0.1374
0.7570 0.9981 0.8626
0.0000 0.0000 0.0000
0.5000 0.5000 0.5000
```

Energy in eV for the cell shown: -87.90
DOS(E_F) in states/eV/f.u.: 0.00

***

(5)
VASP calculation (PBE+U) on Ba2SmMo3O12 after structural relaxation.

Cell and atoms, written as POSCAR:
```
Ba2SmMo3O12
1.0
7.0328 -0.2624 -0.1862
3.2450 6.2450 -0.1862
3.2450 1.8888 5.9554
O Sm Mo Ba
12 1 3 2
Direct
0.2794 0.9060 0.2794
0.2794 0.2794 0.9060
0.9060 0.2794 0.2794
0.4082 0.8745 0.8745
0.8745 0.4082 0.8745
0.0940 0.7206 0.7206
0.7206 0.7206 0.0940
0.1255 0.5918 0.1255
0.5918 0.1255 0.1255
0.1255 0.1255 0.5918
0.7206 0.0940 0.7206
0.8745 0.8745 0.4082
0.0000 0.0000 0.0000
0.0000 0.0000 0.5000
0.5000 0.0000 0.0000
0.0000 0.5000 0.0000
0.3799 0.3799 0.3799
0.6201 0.6201 0.6201
```

Energy in eV for the cell shown: -128.05
DOS(E_F) in states/eV/f.u.: 4.08

***

(6)
VASP calculation (PBE+U) on BaSmMo2O8 after structural relaxation.

Cell and atoms, written as POSCAR:
```
BaSmMo2O8
1.0
6.0321 0.0000 0.0000
-3.0161 5.2240 0.0000
0.0000 0.0000 7.6448
O Sm Ba Mo
8 1 1 2
Direct
0.3316 0.1662 0.2977
0.3333 0.6667 0.0104
0.6684 0.8338 0.7023
0.6667 0.3333 0.9896
0.1662 0.8346 0.7023
0.8346 0.6684 0.2977
0.8338 0.1654 0.2977
0.1654 0.3316 0.7023
0.0000 0.0000 0.5000
0.0000 0.0000 0.0000
0.6667 0.3333 0.2229
0.3333 0.6667 0.7771
```

Energy in eV for the cell shown: -87.23
DOS(E_F) in states/eV/f.u.: 5.64

***

Which formula does entry 6 have?
BaSmMo2O8

***

Look up the energy of the second one.
-27.20 eV for the cell shown